Compound: LaPm3Y8
Source: the Alexandria database
Functional: PBE
Structure: relaxed

Results
Theoretical density in g/cm3: 4.946

CIF file:
```
data_LaPm3Y8
_cell_length_a 6.479
_cell_length_b 11.481
_cell_length_c 11.601
_cell_angle_alpha 90.00
_cell_angle_beta 90.00
_cell_angle_gamma 90.00
_space_group_name_H-M_alt 'I m m m'
_space_group_IT_number 71
_space_group_name_Hall '-I 2 2'
loop_
_atom_site_label
_atom_site_type_symbol
_atom_site_fract_x
_atom_site_fract_y
_atom_site_fract_z
_atom_site_occupancy
La1 La 0.000 0.000 0.000 1
Pm1 Pm 0.000 0.000 0.500 1
Pm2 Pm 0.000 0.500 0.247 1
Y1 Y 0.000 0.171 0.250 1
Y2 Y 0.248 0.254 0.000 1
```


Compound: La2PmY3
Source: the Alexandria database
Functional: PBE
Structure: relaxed

Results
Theoretical density in g/cm3: 5.569

CIF file:
```
data_La2PmY3
_cell_length_a 9.127
_cell_length_b 10.032
_cell_length_c 9.159
_cell_angle_alpha 90.00
_cell_angle_beta 101.27
_cell_angle_gamma 90.00
_space_group_name_H-M_alt 'C 1 2/c 1'
_space_group_IT_number 15
loop_
_space_group_symop_operation_xyz
'x,y,z'
'-x,-y,-z'
'-x,y,-z+1/2'
'x,-y,z+1/2'
'x+1/2,y+1/2,z'
'-x+1/2,-y+1/2,-z'
'-x+1/2,y+1/2,-z+1/2'
'x+1/2,-y+1/2,z+1/2'
loop_
_atom_site_label
_atom_site_type_symbol
_atom_site_fract_x
_atom_site_fract_y
_atom_site_fract_z
_atom_site_occupancy
La1 La 0.124 0.249 0.126 1
Pm1 Pm 0.000 0.416 0.750 1
Y1 Y 0.000 0.083 0.750 1
Y2 Y 0.248 0.417 0.500 1
```


Compound: La5PmY4
Source: the Alexandria database
Functional: PBE
Structure: relaxed

Results
Theoretical density in g/cm3: 5.682
Energy above the most stable polymorph in this dataset in meV per atom: 0.0

CIF file:
```
data_La5PmY4
_cell_length_a 3.710
_cell_length_b 3.710
_cell_length_c 25.383
_cell_angle_alpha 90.00
_cell_angle_beta 90.00
_cell_angle_gamma 90.00
_space_group_name_H-M_alt 'P 4/m m m'
_space_group_IT_number 123
_space_group_name_Hall '-P 4 2'
loop_
_atom_site_label
_atom_site_type_symbol
_atom_site_fract_x
_atom_site_fract_y
_atom_site_fract_z
_atom_site_occupancy
La1 La 0.000 0.000 0.000 1
La2 La 0.000 0.000 0.199 1
La3 La 0.000 0.000 0.399 1
Pm1 Pm 0.500 0.500 0.500 1
Y1 Y 0.500 0.500 0.099 1
Y2 Y 0.500 0.500 0.298 1
```


Compound: La11Pm9Y4
Source: the Alexandria database
Functional: PBE
Structure: relaxed

Results
Theoretical density in g/cm3: 6.169

CIF file:
```
data_La11Pm9Y4
_cell_length_a 17.413
_cell_length_b 26.506
_cell_length_c 3.719
_cell_angle_alpha 90.00
_cell_angle_beta 90.00
_cell_angle_gamma 90.00
_space_group_name_H-M_alt 'C m m m'
_space_group_IT_number 65
_space_group_name_Hall '-C 2 2'
loop_
_atom_site_label
_atom_site_type_symbol
_atom_site_fract_x
_atom_site_fract_y
_atom_site_fract_z
_atom_site_occupancy
La1 La 0.000 0.000 0.000 1
La2 La 0.000 0.162 0.000 1
La3 La 0.000 0.369 0.000 1
La4 La 0.210 0.500 0.000 1
La5 La 0.221 0.181 0.000 1
Pm1 Pm 0.000 0.500 0.500 1
Pm2 Pm 0.102 0.269 0.500 1
Pm3 Pm 0.139 0.074 0.500 1
Y1 Y 0.159 0.398 0.500 1
```


Compound: LaPm4Y4
Source: the Alexandria database
Functional: PBE
Structure: relaxed

Results
Theoretical density in g/cm3: 5.872

CIF file:
```
data_LaPm4Y4
_cell_length_a 6.276
_cell_length_b 9.607
_cell_length_c 10.867
_cell_angle_alpha 100.90
_cell_angle_beta 106.53
_cell_angle_gamma 96.17
_space_group_name_H-M_alt 'P -1'
_space_group_IT_number 2
loop_
_space_group_symop_operation_xyz
'x,y,z'
'-x,-y,-z'
loop_
_atom_site_label
_atom_site_type_symbol
_atom_site_fract_x
_atom_site_fract_y
_atom_site_fract_z
_atom_site_occupancy
La1 La 0.249 0.084 0.304 1
Pm1 Pm 0.249 0.747 0.083 1
Pm2 Pm 0.250 0.748 0.751 1
Pm3 Pm 0.251 0.417 0.528 1
Pm4 Pm 0.252 0.084 0.641 1
Y1 Y 0.246 0.747 0.415 1
Y2 Y 0.250 0.418 0.193 1
Y3 Y 0.250 0.418 0.862 1
Y4 Y 0.253 0.084 0.972 1
```


Compound: LaPm5Y6
Source: the Alexandria database
Functional: PBE
Structure: relaxed

Results
Theoretical density in g/cm3: 5.768

CIF file:
```
data_LaPm5Y6
_cell_length_a 5.145
_cell_length_b 10.153
_cell_length_c 15.402
_cell_angle_alpha 90.00
_cell_angle_beta 90.00
_cell_angle_gamma 90.00
_space_group_name_H-M_alt 'I m m m'
_space_group_IT_number 71
_space_group_name_Hall '-I 2 2'
loop_
_atom_site_label
_atom_site_type_symbol
_atom_site_fract_x
_atom_site_fract_y
_atom_site_fract_z
_atom_site_occupancy
La1 La 0.000 0.000 0.000 1
Pm1 Pm 0.000 0.000 0.333 1
Pm2 Pm 0.000 0.500 0.000 1
Pm3 Pm 0.000 0.500 0.332 1
Y1 Y 0.000 0.248 0.500 1
Y2 Y 0.000 0.251 0.167 1
```


Compound: La3Pm4Y3
Source: the Alexandria database
Functional: PBE
Structure: relaxed

Results
Theoretical density in g/cm3: 5.928

CIF file:
```
data_La3Pm4Y3
_cell_length_a 3.849
_cell_length_b 13.608
_cell_length_c 13.511
_cell_angle_alpha 90.00
_cell_angle_beta 90.00
_cell_angle_gamma 90.00
_space_group_name_H-M_alt 'A m m 2'
_space_group_IT_number 38
loop_
_space_group_symop_operation_xyz
'x,y,z'
'-x,-y,z'
'-x,y,z'
'x,-y,z'
'x,y+1/2,z+1/2'
'-x,-y+1/2,z+1/2'
'-x,y+1/2,z+1/2'
'x,-y+1/2,z+1/2'
loop_
_atom_site_label
_atom_site_type_symbol
_atom_site_fract_x
_atom_site_fract_y
_atom_site_fract_z
_atom_site_occupancy
La1 La 0.000 0.000 0.000 1
La2 La 0.500 0.245 0.419 1
Pm1 Pm 0.500 0.000 0.544 1
Pm2 Pm 0.500 0.000 0.796 1
Pm3 Pm 0.500 0.128 0.173 1
Y1 Y 0.000 0.000 0.341 1
Y2 Y 0.000 0.170 0.670 1
```


Compound: La2Pm9Y
Source: the Alexandria database
Functional: PBE
Structure: relaxed

Results
Theoretical density in g/cm3: 6.671

CIF file:
```
data_La2Pm9Y
_cell_length_a 5.176
_cell_length_b 5.176
_cell_length_c 15.534
_cell_angle_alpha 90.00
_cell_angle_beta 90.00
_cell_angle_gamma 90.00
_space_group_name_H-M_alt 'P 4/m m m'
_space_group_IT_number 123
_space_group_name_Hall '-P 4 2'
loop_
_atom_site_label
_atom_site_type_symbol
_atom_site_fract_x
_atom_site_fract_y
_atom_site_fract_z
_atom_site_occupancy
La1 La 0.000 0.000 0.167 1
Pm1 Pm 0.000 0.500 0.000 1
Pm2 Pm 0.000 0.500 0.336 1
Pm3 Pm 0.500 0.500 0.168 1
Pm4 Pm 0.500 0.500 0.500 1
Y1 Y 0.000 0.000 0.500 1
```


Compound: La5PmY6
Source: the Alexandria database
Functional: PBE
Structure: relaxed

Results
Theoretical density in g/cm3: 5.525

CIF file:
```
data_La5PmY6
_cell_length_a 5.244
_cell_length_b 10.047
_cell_length_c 15.664
_cell_angle_alpha 90.00
_cell_angle_beta 90.00
_cell_angle_gamma 90.00
_space_group_name_H-M_alt 'I m m m'
_space_group_IT_number 71
_space_group_name_Hall '-I 2 2'
loop_
_atom_site_label
_atom_site_type_symbol
_atom_site_fract_x
_atom_site_fract_y
_atom_site_fract_z
_atom_site_occupancy
La1 La 0.000 0.000 0.000 1
La2 La 0.000 0.000 0.335 1
La3 La 0.000 0.500 0.333 1
Pm1 Pm 0.000 0.500 0.000 1
Y1 Y 0.000 0.249 0.500 1
Y2 Y 0.000 0.251 0.166 1
```


Compound: LaPm2Y6
Source: the Alexandria database
Functional: PBE
Structure: relaxed

Results
Theoretical density in g/cm3: 5.289
Energy above the most stable polymorph in this dataset in meV per atom: 76.1

CIF file:
```
data_LaPm2Y6
_cell_length_a 13.033
_cell_length_b 14.262
_cell_length_c 6.656
_cell_angle_alpha 90.00
_cell_angle_beta 102.37
_cell_angle_gamma 90.00
_space_group_name_H-M_alt 'C 1 2/c 1'
_space_group_IT_number 15
loop_
_space_group_symop_operation_xyz
'x,y,z'
'-x,-y,-z'
'-x,y,-z+1/2'
'x,-y,z+1/2'
'x+1/2,y+1/2,z'
'-x+1/2,-y+1/2,-z'
'-x+1/2,y+1/2,-z+1/2'
'x+1/2,-y+1/2,z+1/2'
loop_
_atom_site_label
_atom_site_type_symbol
_atom_site_fract_x
_atom_site_fract_y
_atom_site_fract_z
_atom_site_occupancy
La1 La 0.000 0.121 0.250 1
Pm1 Pm 0.139 0.473 0.371 1
Y1 Y 0.034 0.312 0.000 1
Y2 Y 0.136 0.085 0.817 1
Y3 Y 0.240 0.299 0.732 1
```


Compound: La8PmY5
Source: the Alexandria database
Functional: PBE
Structure: relaxed

Results
Theoretical density in g/cm3: 5.582

CIF file:
```
data_La8PmY5
_cell_length_a 9.809
_cell_length_b 9.809
_cell_length_c 10.516
_cell_angle_alpha 90.00
_cell_angle_beta 90.00
_cell_angle_gamma 90.00
_space_group_name_H-M_alt 'I -4'
_space_group_IT_number 82
loop_
_space_group_symop_operation_xyz
'x,y,z'
'y,-x,-z'
'-x,-y,z'
'-y,x,-z'
'x+1/2,y+1/2,z+1/2'
'y+1/2,-x+1/2,-z+1/2'
'-x+1/2,-y+1/2,z+1/2'
'-y+1/2,x+1/2,-z+1/2'
loop_
_atom_site_label
_atom_site_type_symbol
_atom_site_fract_x
_atom_site_fract_y
_atom_site_fract_z
_atom_site_occupancy
La1 La 0.068 0.331 0.404 1
La2 La 0.093 0.184 0.749 1
Pm1 Pm 0.000 0.500 0.750 1
Y1 Y 0.000 0.000 0.500 1
Y2 Y 0.109 0.200 0.074 1
```


Compound: La4Pm2Y
Source: the Alexandria database
Functional: PBE
Structure: relaxed

Results
Theoretical density in g/cm3: 6.235
Energy above the most stable polymorph in this dataset in meV per atom: 0.0

CIF file:
```
data_La4Pm2Y
_cell_length_a 6.384
_cell_length_b 9.754
_cell_length_c 9.764
_cell_angle_alpha 60.17
_cell_angle_beta 71.04
_cell_angle_gamma 83.76
_space_group_name_H-M_alt 'P 1'
_space_group_IT_number 1
loop_
_space_group_symop_operation_xyz
'x,y,z'
loop_
_atom_site_label
_atom_site_type_symbol
_atom_site_fract_x
_atom_site_fract_y
_atom_site_fract_z
_atom_site_occupancy
La1 La 0.000 0.000 0.000 1
La2 La 0.000 0.282 0.573 1
La3 La 0.002 0.568 0.144 1
La4 La 0.003 0.854 0.714 1
La5 La 0.502 0.638 0.783 1
La6 La 0.502 0.927 0.355 1
La7 La 0.503 0.355 0.213 1
La8 La 0.503 0.784 0.068 1
Pm1 Pm 0.002 0.710 0.430 1
Pm2 Pm 0.003 0.140 0.286 1
Pm3 Pm 0.498 0.497 0.500 1
Pm4 Pm 0.501 0.214 0.925 1
Y1 Y 0.003 0.425 0.857 1
Y2 Y 0.502 0.071 0.640 1
```


Compound: La5Pm4Y2
Source: the Alexandria database
Functional: PBE
Structure: relaxed

Results
Theoretical density in g/cm3: 6.204

CIF file:
```
data_La5Pm4Y2
_cell_length_a 24.537
_cell_length_b 3.532
_cell_length_c 9.038
_cell_angle_alpha 90.00
_cell_angle_beta 97.01
_cell_angle_gamma 90.00
_space_group_name_H-M_alt 'C 1 2/m 1'
_space_group_IT_number 12
loop_
_space_group_symop_operation_xyz
'x,y,z'
'-x,-y,-z'
'-x,y,-z'
'x,-y,z'
'x+1/2,y+1/2,z'
'-x+1/2,-y+1/2,-z'
'-x+1/2,y+1/2,-z'
'x+1/2,-y+1/2,z'
loop_
_atom_site_label
_atom_site_type_symbol
_atom_site_fract_x
_atom_site_fract_y
_atom_site_fract_z
_atom_site_occupancy
La1 La 0.000 0.000 0.000 1
La2 La 0.140 0.500 0.112 1
La3 La 0.230 0.500 0.820 1
Pm1 Pm 0.046 0.500 0.362 1
Pm2 Pm 0.177 0.000 0.472 1
Y1 Y 0.091 0.500 0.729 1
```


Compound: La3Pm2Y8
Source: the Alexandria database
Functional: PBE
Structure: relaxed

Results
Theoretical density in g/cm3: 5.165
Energy above the most stable polymorph in this dataset in meV per atom: 225.4

CIF file:
```
data_La3Pm2Y8
_cell_length_a 20.469
_cell_length_b 7.762
_cell_length_c 5.738
_cell_angle_alpha 90.00
_cell_angle_beta 90.15
_cell_angle_gamma 90.00
_space_group_name_H-M_alt 'C 1 2/m 1'
_space_group_IT_number 12
loop_
_space_group_symop_operation_xyz
'x,y,z'
'-x,-y,-z'
'-x,y,-z'
'x,-y,z'
'x+1/2,y+1/2,z'
'-x+1/2,-y+1/2,-z'
'-x+1/2,y+1/2,-z'
'x+1/2,-y+1/2,z'
loop_
_atom_site_label
_atom_site_type_symbol
_atom_site_fract_x
_atom_site_fract_y
_atom_site_fract_z
_atom_site_occupancy
La1 La 0.000 0.000 0.000 1
La2 La 0.000 0.299 0.500 1
Pm1 Pm 0.241 0.000 0.997 1
Y1 Y 0.108 0.291 0.001 1
Y2 Y 0.136 0.000 0.499 1
Y3 Y 0.171 0.500 0.502 1
```


Compound: La12Pm3Y
Source: the Alexandria database
Functional: PBE
Structure: relaxed

Results
Theoretical density in g/cm3: 6.339

CIF file:
```
data_La12Pm3Y
_cell_length_a 5.235
_cell_length_b 5.235
_cell_length_c 20.941
_cell_angle_alpha 90.00
_cell_angle_beta 90.00
_cell_angle_gamma 90.00
_space_group_name_H-M_alt 'P 4/m m m'
_space_group_IT_number 123
_space_group_name_Hall '-P 4 2'
loop_
_atom_site_label
_atom_site_type_symbol
_atom_site_fract_x
_atom_site_fract_y
_atom_site_fract_z
_atom_site_occupancy
La1 La 0.000 0.000 0.000 1
La2 La 0.000 0.000 0.250 1
La3 La 0.000 0.000 0.500 1
La4 La 0.000 0.500 0.124 1
La5 La 0.000 0.500 0.374 1
Pm1 Pm 0.500 0.500 0.249 1
Pm2 Pm 0.500 0.500 0.500 1
Y1 Y 0.500 0.500 0.000 1
```


Compound: La4Pm2Y
Source: the Alexandria database
Functional: PBE
Structure: relaxed

Results
Theoretical density in g/cm3: 6.145
Energy above the most stable polymorph in this dataset in meV per atom: 180.9

CIF file:
```
data_La4Pm2Y
_cell_length_a 6.980
_cell_length_b 11.714
_cell_length_c 12.355
_cell_angle_alpha 90.00
_cell_angle_beta 90.00
_cell_angle_gamma 90.00
_space_group_name_H-M_alt 'I m m a'
_space_group_IT_number 74
_space_group_name_Hall '-I 2b 2'
loop_
_atom_site_label
_atom_site_type_symbol
_atom_site_fract_x
_atom_site_fract_y
_atom_site_fract_z
_atom_site_occupancy
La1 La 0.000 0.003 0.148 1
La2 La 0.219 0.250 0.993 1
Pm1 Pm 0.000 0.000 0.500 1
Pm2 Pm 0.000 0.250 0.717 1
Y1 Y 0.250 0.250 0.250 1
```


Compound: La5Pm3Y2
Source: the Alexandria database
Functional: PBE
Structure: relaxed

Results
Theoretical density in g/cm3: 6.054

CIF file:
```
data_La5Pm3Y2
_cell_length_a 11.012
_cell_length_b 14.904
_cell_length_c 10.321
_cell_angle_alpha 90.00
_cell_angle_beta 122.15
_cell_angle_gamma 90.00
_space_group_name_H-M_alt 'C 1 2/c 1'
_space_group_IT_number 15
loop_
_space_group_symop_operation_xyz
'x,y,z'
'-x,-y,-z'
'-x,y,-z+1/2'
'x,-y,z+1/2'
'x+1/2,y+1/2,z'
'-x+1/2,-y+1/2,-z'
'-x+1/2,y+1/2,-z+1/2'
'x+1/2,-y+1/2,z+1/2'
loop_
_atom_site_label
_atom_site_type_symbol
_atom_site_fract_x
_atom_site_fract_y
_atom_site_fract_z
_atom_site_occupancy
La1 La 0.000 0.021 0.250 1
La2 La 0.000 0.230 0.250 1
La3 La 0.000 0.274 0.750 1
La4 La 0.246 0.377 0.244 1
Pm1 Pm 0.000 0.481 0.750 1
Pm2 Pm 0.154 0.125 0.059 1
Y1 Y 0.155 0.378 0.560 1
```


Compound: La5Pm6Y
Source: the Alexandria database
Functional: PBE
Structure: relaxed

Results
Theoretical density in g/cm3: 6.481

CIF file:
```
data_La5Pm6Y
_cell_length_a 6.385
_cell_length_b 11.056
_cell_length_c 12.193
_cell_angle_alpha 90.00
_cell_angle_beta 100.15
_cell_angle_gamma 90.00
_space_group_name_H-M_alt 'C 1 2/m 1'
_space_group_IT_number 12
loop_
_space_group_symop_operation_xyz
'x,y,z'
'-x,-y,-z'
'-x,y,-z'
'x,-y,z'
'x+1/2,y+1/2,z'
'-x+1/2,-y+1/2,-z'
'-x+1/2,y+1/2,-z'
'x+1/2,-y+1/2,z'
loop_
_atom_site_label
_atom_site_type_symbol
_atom_site_fract_x
_atom_site_fract_y
_atom_site_fract_z
_atom_site_occupancy
La1 La 0.000 0.000 0.000 1
La2 La 0.000 0.167 0.500 1
La3 La 0.000 0.334 0.000 1
Pm1 Pm 0.249 0.334 0.749 1
Pm2 Pm 0.250 0.000 0.749 1
Y1 Y 0.000 0.500 0.500 1
```


Compound: La2PmY9
Source: the Alexandria database
Functional: PBE
Structure: relaxed

Results
Theoretical density in g/cm3: 5.082

CIF file:
```
data_La2PmY9
_cell_length_a 5.106
_cell_length_b 5.106
_cell_length_c 15.329
_cell_angle_alpha 90.00
_cell_angle_beta 90.00
_cell_angle_gamma 90.00
_space_group_name_H-M_alt 'P 4/m m m'
_space_group_IT_number 123
_space_group_name_Hall '-P 4 2'
loop_
_atom_site_label
_atom_site_type_symbol
_atom_site_fract_x
_atom_site_fract_y
_atom_site_fract_z
_atom_site_occupancy
La1 La 0.000 0.000 0.166 1
Pm1 Pm 0.000 0.000 0.500 1
Y1 Y 0.000 0.500 0.000 1
Y2 Y 0.000 0.500 0.336 1
Y3 Y 0.500 0.500 0.168 1
Y4 Y 0.500 0.500 0.500 1
```


Number 1: energy of formation 0.309 eV/atom. Number 2: energy of formation 0.060 eV/atom. Number 3: energy of formation 0.021 eV/atom. Number 4: energy of formation 0.068 eV/atom. Number 5: energy of formation 0.019 eV/atom. Number 6: energy of formation 0.018 eV/atom. Number 7: energy of formation 0.082 eV/atom. Number 8: energy of formation 0.018 eV/atom. Number 9: energy of formation 0.021 eV/atom. Number 10: energy of formation 0.095 eV/atom. Number 11: energy of formation 0.239 eV/atom. Number 12: energy of formation 0.020 eV/atom. Number 13: energy of formation 0.127 eV/atom. Number 14: energy of formation 0.252 eV/atom. Number 15: energy of formation 0.007 eV/atom. Number 16: energy of formation 0.201 eV/atom. Number 17: energy of formation 0.147 eV/atom. Number 18: energy of formation 0.014 eV/atom. Number 19: energy of formation 0.029 eV/atom.